DFT (PBE) results for a relaxed Rb6Br3Cl2F crystal.

The structure in POSCAR format:
```
Rb6Br3Cl2F
1.0
10.354 -2.359 0.000
10.354 2.359 0.000
-2.335 0.000 9.281
Rb Br Cl F
6 3 2 1
Direct
0.001 0.001 0.221
0.330 0.330 0.422
0.347 0.347 0.917
0.653 0.653 0.083
0.670 0.670 0.578
0.999 0.999 0.779
0.169 0.169 0.837
0.500 0.500 0.500
0.831 0.831 0.163
0.163 0.163 0.329
0.837 0.837 0.671
0.500 0.500 0.000
```

Summary:
**DOS(E_F)**: 0.0 states/eV per cell
**SG**: C2/m
**Raw formation energy**: -1.935 eV/atom